1.
Density functional theory data (PBE) for a geometry-optimized Cs5K2Rb2 structure.

```
9
Lattice="9.008 -4.080 0.000 9.008 4.080 0.000 -3.051 0.000 12.168" Properties=species:S:1:pos:R:3 pbc="T T T"
Cs 0.000 0.000 0.000
Cs 0.131 0.000 8.090
Cs 5.881 0.000 8.309
Cs 9.084 0.000 3.859
Cs 14.834 0.000 4.078
K 5.757 0.000 0.087
K 9.208 0.000 12.081
Rb 3.068 0.000 3.966
Rb 11.897 0.000 8.202
```

Properties
Symmetry: C2/m, No. 12



2.
Density functional theory data (PBE) for a geometry-optimized CaBi2Au9 structure.

```
12
Lattice="2.825 1.631 9.437 -2.825 1.631 9.437 0.000 -3.262 9.437" Properties=species:S:1:pos:R:3 pbc="T T T"
Ca 0.000 0.000 0.000
Bi 0.000 0.000 4.201
Bi 0.000 0.000 24.110
Au -1.422 -0.821 11.783
Au 0.000 0.000 9.434
Au 0.000 -1.641 16.528
Au -1.422 0.821 16.528
Au 0.000 0.000 14.155
Au 1.422 -0.821 11.783
Au 0.000 1.642 11.783
Au 0.000 0.000 18.877
Au 1.422 0.821 16.528
```

Properties
Symmetry: R-3m, No. 166



no.,formation enthalpy at 0 K (kcal/mol of atoms),spin magnetization (Bohr magnetons per cell)
1,0.2,0.00
2,-4.9,0.00